[1]
The following is a GGA+U calculation of a relaxed structure of VHO3, from Alexandria.

Cell lengths 3.6680, 6.1151, 12.1948 Å; angles 98.58, 86.55, 107.23 degrees
Last column: nearest neighbours and their distance in Å.
Sites, in units of the cell vectors:
1 H 0.5416 0.1735 0.4945  1 O 0.99
2 H 0.2638 0.8084 0.5748  1 O 0.98
3 H 0.8955 0.3748 0.4714  1 O 0.97
4 H 0.5421 0.7472 0.4831  1 O 0.98
5 O 0.2290 0.4768 0.1093  3 V 1.92-2.06
6 O 0.5959 0.2094 0.1129  3 V 1.92-2.02
7 O 0.3997 0.7276 0.8890  3 V 1.91-2.02
8 O 0.2216 0.3078 0.7276  1 V 1.59
9 O 0.0317 0.1431 0.2708  1 V 1.59
10 O 0.0830 0.1037 0.9164  2 V 1.83-1.84
11 O 0.9650 0.7902 0.7304  1 V 1.61
12 O 0.7649 0.4583 0.8932  3 V 1.92-2.06
13 O 0.9109 0.8300 0.0843  2 V 1.83
14 O 0.3767 0.8467 0.5031  2 H 0.98
15 O 0.6236 0.3408 0.4893  2 H 0.97-0.99
16 O 0.7701 0.6286 0.2744  1 V 1.59
17 V 0.7619 0.5577 0.1432  1 O 1.59
18 V 0.9393 0.7961 0.8627  1 O 1.61
19 V 0.0554 0.1384 0.1395  1 O 1.59
20 V 0.2318 0.3782 0.8588  1 O 1.59

[2]
The following is a GGA+U calculation of a relaxed structure of V3H2O8, from Alexandria.

Cell lengths 3.7291, 9.2680, 16.9990 Å; angles 90.00, 90.05, 90.00 degrees
Last column: nearest neighbours and their distance in Å.
Sites, in units of the cell vectors:
1 O 0.7495 0.5113 0.3695  3 V 1.91-1.97
2 O 0.2502 0.0764 0.5207  3 V 1.94-1.99
3 O 0.7507 0.8765 0.2187  2 H 0.99
4 O 0.2507 0.7799 0.5865  1 V 1.62
5 O 0.2493 0.1235 0.7813  2 H 0.99
6 O 0.2505 0.0113 0.1305  3 V 1.91-1.97
7 O 0.7502 0.1927 0.2232  1 V 1.66, 2 H 1.73-1.74
8 O 0.2498 0.6927 0.2768  1 V 1.66, 2 H 1.73-1.74
9 O 0.2495 0.7922 0.9386  2 V 1.86-1.98
10 O 0.7507 0.6235 0.7187  2 H 0.99
11 O 0.2490 0.9639 0.3601  1 V 1.60
12 O 0.7495 0.9887 0.8695  3 V 1.91-1.97
13 O 0.7505 0.2078 0.0614  2 V 1.86-1.98
14 O 0.7510 0.4639 0.1399  1 V 1.60
15 O 0.7493 0.2799 0.9135  1 V 1.62
16 O 0.2493 0.3765 0.2813  2 H 0.99
17 O 0.2507 0.7201 0.0865  1 V 1.62
18 O 0.2498 0.8073 0.7768  1 V 1.66, 2 H 1.73-1.74
19 O 0.2495 0.7078 0.4386  2 V 1.86-1.98
20 O 0.2505 0.4887 0.6305  3 V 1.91-1.97
21 O 0.7510 0.0361 0.6399  1 V 1.60
22 O 0.2498 0.4269 0.4609  2 V 1.92
23 O 0.7493 0.2201 0.4135  1 V 1.62
24 O 0.7502 0.5731 0.5391  2 V 1.92
25 O 0.2502 0.4236 0.0207  3 V 1.94-1.99
26 O 0.2490 0.5361 0.8601  1 V 1.60
27 O 0.2498 0.0731 0.9609  2 V 1.92
28 O 0.7505 0.2922 0.5614  2 V 1.86-1.98
29 O 0.7498 0.5764 0.9793  3 V 1.94-1.99
30 O 0.7502 0.9269 0.0391  2 V 1.92
31 O 0.7498 0.9236 0.4793  3 V 1.94-1.99
32 O 0.7502 0.3073 0.7232  1 V 1.66, 2 H 1.73-1.74
33 H 0.0382 0.1798 0.7628  1 O 0.99
34 H 0.5392 0.8206 0.2371  1 O 0.99
35 H 0.4608 0.3206 0.2629  1 O 0.99
36 H 0.9618 0.6798 0.7372  1 O 0.99
37 H 0.0382 0.3202 0.2628  1 O 0.99
38 H 0.9618 0.8202 0.2372  1 O 0.99
39 H 0.4608 0.1794 0.7629  1 O 0.99
40 H 0.5392 0.6794 0.7371  1 O 0.99
41 V 0.2496 0.9071 0.4490  1 O 1.60
42 V 0.7506 0.4361 0.6555  1 O 1.66
43 V 0.7504 0.4071 0.0510  1 O 1.60
44 V 0.2496 0.5929 0.9490  1 O 1.60
45 V 0.7504 0.0929 0.5510  1 O 1.60
46 V 0.2503 0.6221 0.5450  1 O 1.62
47 V 0.7497 0.1221 0.9550  1 O 1.62
48 V 0.2503 0.8779 0.0450  1 O 1.62
49 V 0.2494 0.9361 0.8445  1 O 1.66
50 V 0.7506 0.0639 0.1555  1 O 1.66
51 V 0.2494 0.5639 0.3445  1 O 1.66
52 V 0.7497 0.3779 0.4550  1 O 1.62

[3]
The following is a GGA+U calculation of a relaxed structure of V3H4O8, from Alexandria.

Cell lengths 8.2097, 8.2097, 7.0426 Å; angles 73.83, 73.83, 26.67 degrees
Last column: nearest neighbours and their distance in Å.
Sites, in units of the cell vectors:
1 V 0.1927 0.1927 0.6539  2 O 1.68-1.86
2 V 0.8073 0.8073 0.3461  2 O 1.68-1.86
3 V 0.0000 0.0000 0.5000  2 O 1.79
4 O 0.2030 0.2030 0.9107  1 H 0.98
5 O 0.7238 0.7238 0.6043  3 V 1.92-1.96
6 O 0.0866 0.0866 0.6590  1 V 1.68
7 O 0.0881 0.0881 0.2751  1 H 0.99
8 O 0.7970 0.7970 0.0893  1 H 0.98
9 O 0.2762 0.2762 0.3957  3 V 1.92-1.96
10 O 0.9119 0.9119 0.7249  1 H 0.99
11 O 0.9134 0.9134 0.3410  1 V 1.68
12 H 0.7383 0.7383 0.0718  1 O 0.98
13 H 0.8764 0.8764 0.8652  1 O 0.99
14 H 0.2617 0.2617 0.9282  1 O 0.98
15 H 0.1236 0.1236 0.1348  1 O 0.99

Output
Offset from the most stable computed form (meV/atom): 27

[4]
The following is a GGA+U calculation of a relaxed structure of VHO3, from Alexandria.

Cell lengths 2.8742, 4.9529, 7.7644 Å; angles 90.00, 100.67, 90.00 degrees
Last column: nearest neighbours and their distance in Å.
Sites, in units of the cell vectors:
1 O 0.7639 0.6074 0.5278  2 V 1.86
2 O 0.1065 0.7992 0.2130  1 H 0.98
3 O 0.2361 0.1074 0.4722  2 V 1.86
4 O 0.4031 0.7700 0.8063  1 V 1.62
5 O 0.8935 0.2992 0.7870  1 H 0.98
6 O 0.5969 0.2700 0.1937  1 V 1.62
7 H 0.1036 0.6008 0.2072  1 O 0.98
8 H 0.8964 0.1008 0.7928  1 O 0.98
9 V 0.3356 0.5168 0.6713  1 O 1.62
10 V 0.6644 0.0168 0.3287  1 O 1.62

Number 1: E -133.0 eV/cell, total magnetization 0.0 μB per cell. Number 2: E -360.4 eV/cell, total magnetization 4.0 μB per cell. Number 3: E -96.4 eV/cell, total magnetization 3.0 μB per cell. Number 4: E -66.2 eV/cell, total magnetization 0.0 μB per cell.